[1]
Below is Sr2CuBr after structural relaxation, with properties calculated at the PBE level.

**Mass density**: 4208 kg/m3
**Uncorrected energy**: -0.2051 Ry/atom
**Crystal system**: cubic
**Distance to the lowest polymorph of the same formula**: 100 kJ/mol of formula units
**Density of states at the Fermi level**: 3.05 states/eV/f.u.

Lattice parameters (Å, degrees): 7.9530 7.9530 7.9530 90.00 90.00 90.00
With the nearest neighbours (Å) after each atom.
Space group Fm-3m (No. 225)
Inequivalent atoms, fractional coordinates:
Sr 0.2500 0.2500 0.2500 [8 per cell]  4 Br 3.44, 4 Cu 3.44
Cu 0.0000 0.0000 0.0000 [4 per cell]  8 Sr 3.44
Br 0.0000 0.0000 0.5000 [4 per cell]  8 Sr 3.44

[2]
Below is ZnTcAs after structural relaxation, with properties calculated at the PBE level.

**Mass density**: 7612 kg/m3
**E_form**: 0.218 eV per atom
**Uncorrected energy**: -0.3831 Ry/atom
**Crystal system**: cubic
**Distance to the lowest polymorph of the same formula**: 100 kJ/mol of formula units
**Density of states at the Fermi level**: 1.09 states/eV/f.u.

Lattice parameters (Å, degrees): 5.9248 5.9248 5.9248 90.00 90.00 90.00
With the nearest neighbours (Å) after each atom.
Space group F-43m (No. 216)
Inequivalent atoms, fractional coordinates:
Zn 0.0000 0.0000 0.0000 [4 per cell]  4 Tc 2.57
Tc 0.2500 0.2500 0.7500 [4 per cell]  4 As 2.57, 4 Zn 2.57
As 0.0000 0.0000 0.5000 [4 per cell]  4 Tc 2.57

[3]
Below is ZrPbF2 after structural relaxation, with properties calculated at the PBE level.

**Mass density**: 7858 kg/m3
**Uncorrected energy**: -0.4280 Ry/atom
**Crystal system**: tetragonal
**Distance to the lowest polymorph of the same formula**: 7 kJ/mol of formula units
**Density of states at the Fermi level**: 0.88 states/eV/f.u.

Lattice parameters (Å, degrees): 4.4281 4.4281 14.5024 90.00 90.00 90.00
With the nearest neighbours (Å) after each atom.
Space group I-42d (No. 122)
Inequivalent atoms, fractional coordinates:
Zr 0.0000 0.0000 0.0000 [4 per cell]  4 F 2.16
Pb 0.0000 0.0000 0.5000 [4 per cell]  4 F 2.80, 4 Zr 3.13
F 0.0885 0.2500 0.1250 [8 per cell]  2 Zr 2.16, 2 F 2.35

> The lowest distance to the lowest polymorph of the same formula belongs to which entry?

ZrPbF2